## Er2PbS4 (PBEsol)

Data for Er2PbS4 after structural relaxation.

Computed properties:
* mass density: 6.87 g/cm³
* uncorrected formation energy: -38.3 kcal/mol of atoms
* crystal system: orthorhombic
* calculated volume: 23.1 Å³ per atom
* SG: No. 62

Cell lengths 3.896, 11.786, 14.097 Å; angles 90.00, 90.00, 90.00 degrees
Element x y z (fractional)
Er  0.250  0.917  0.401
Er  0.750  0.563  0.389
Er  0.250  0.417  0.099
Er  0.750  0.583  0.901
Er  0.750  0.083  0.599
Er  0.250  0.937  0.889
Er  0.250  0.437  0.611
Er  0.750  0.063  0.111
S  0.750  0.588  0.577
S  0.250  0.629  0.029
S  0.750  0.294  0.671
S  0.250  0.024  0.715
S  0.250  0.412  0.423
S  0.750  0.371  0.971
S  0.750  0.476  0.215
S  0.250  0.206  0.171
S  0.750  0.794  0.829
S  0.750  0.976  0.285
S  0.750  0.088  0.923
S  0.250  0.912  0.077
S  0.250  0.129  0.471
S  0.250  0.706  0.329
S  0.250  0.524  0.785
S  0.750  0.871  0.529
Pb  0.250  0.763  0.665
Pb  0.250  0.263  0.835
Pb  0.750  0.237  0.335
Pb  0.750  0.737  0.165

## HfZrAu3 (PBEsol)

Data for HfZrAu3 after structural relaxation.

Computed properties:
* mass density: 11.78 g/cm³
* crystal system: cubic
* final energy: -5.568 eV/atom
* calculated volume: 24.3 Å³ per atom
* SG: No. 221

Cell lengths 4.950, 4.950, 4.950 Å; angles 90.00, 90.00, 90.00 degrees
Element x y z (fractional)
Au  0.000  0.000  0.500
Au  0.500  0.000  0.000
Au  0.000  0.500  0.000
Hf  0.000  0.000  0.000
Zr  0.500  0.500  0.500

## Tl2HgSb (PBEsol)

Data for Tl2HgSb after structural relaxation.

Computed properties:
* mass density: 10.90 g/cm³
* uncorrected formation energy: 0.8 kcal/mol of atoms
* excess energy over the best structure of this formula in the dataset: 39 meV per atom
* crystal system: monoclinic
* calculated volume: 27.9 Å³ per atom
* SG: No. 12

Cell lengths 3.227, 5.060, 7.214 Å; angles 93.42, 90.00, 108.60 degrees
Element x y z (fractional)
Tl  0.247  0.494  0.255
Tl  0.753  0.506  0.745
Hg  0.000  0.000  0.500
Sb  0.500  0.000  0.000

## Sr2CdAg (PBEsol)

Data for Sr2CdAg after structural relaxation.

Computed properties:
* mass density: 5.53 g/cm³
* crystal system: tetragonal
* final energy: -2.300 eV/atom
* calculated volume: 29.7 Å³ per atom
* SG: No. 123

Cell lengths 3.952, 5.480, 5.480 Å; angles 90.00, 90.00, 90.00 degrees
Element x y z (fractional)
Sr  0.000  0.500  0.000
Sr  0.000  0.000  0.500
Cd  0.500  0.000  0.000
Ag  0.500  0.500  0.500

## MnAgSe2 (PBEsol)

Data for MnAgSe2 after structural relaxation.

Computed properties:
* mass density: 7.00 g/cm³
* uncorrected formation energy: -5.0 kcal/mol of atoms
* crystal system: trigonal
* calculated volume: 19.0 Å³ per atom
* SG: No. 166

Cell lengths 3.691, 3.688, 6.797 Å; angles 105.75, 90.00, 120.02 degrees
Element x y z (fractional)
Ag  0.000  0.000  0.500
Mn  0.500  0.000  0.000
Se  0.242  0.483  0.223
Se  0.758  0.517  0.777

## CdAg2Sb (PBEsol)

Data for CdAg2Sb after structural relaxation.

Computed properties:
* mass density: 9.49 g/cm³
* uncorrected formation energy: 1.2 kcal/mol of atoms
* excess energy over the best structure of this formula in the dataset: 10 meV per atom
* crystal system: tetragonal
* calculated volume: 19.7 Å³ per atom
* SG: No. 139

Cell lengths 4.296, 4.296, 5.238 Å; angles 114.21, 114.21, 90.00 degrees
Element x y z (fractional)
Ag  0.250  0.750  0.500
Ag  0.750  0.250  0.500
Sb  0.500  0.500  0.000
Cd  0.000  0.000  0.000

## Ba2MgBr (PBEsol)

Data for Ba2MgBr after structural relaxation.

Computed properties:
* mass density: 4.31 g/cm³
* uncorrected formation energy: -15.9 kcal/mol of atoms
* excess energy over the best structure of this formula in the dataset: 0 meV per atom
* crystal system: tetragonal
* calculated volume: 36.5 Å³ per atom
* SG: No. 123

Cell lengths 3.853, 6.158, 6.158 Å; angles 90.00, 90.00, 90.00 degrees
Element x y z (fractional)
Ba  0.000  0.500  0.000
Ba  0.000  0.000  0.500
Br  0.500  0.500  0.500
Mg  0.500  0.000  0.000

## Be3SbS (PBEsol)

Data for Be3SbS after structural relaxation.

Computed properties:
* mass density: 3.06 g/cm³
* uncorrected formation energy: 25.3 kcal/mol of atoms
* crystal system: cubic
* calculated volume: 19.6 Å³ per atom
* SG: No. 221

Cell lengths 4.611, 4.611, 4.611 Å; angles 90.00, 90.00, 90.00 degrees
Element x y z (fractional)
Be  0.000  0.000  0.500
Be  0.000  0.500  0.000
Be  0.500  0.000  0.000
S  0.500  0.500  0.500
Sb  0.000  0.000  0.000

## Mg5Ir (PBEsol)

Data for Mg5Ir after structural relaxation.

Computed properties:
* mass density: 4.74 g/cm³
* excess energy over the best structure of this formula in the dataset: 23 meV per atom
* crystal system: hexagonal
* calculated volume: 18.3 Å³ per atom
* SG: No. 189

Cell lengths 4.703, 5.195, 5.195 Å; angles 120.00, 90.00, 90.00 degrees
Element x y z (fractional)
Mg  0.000  0.309  0.309
Mg  0.500  0.333  0.667
Mg  0.500  0.667  0.333
Mg  0.000  0.000  0.691
Mg  0.000  0.691  0.000
Ir  0.500  0.000  0.000

## CrReW2 (PBEsol)

Data for CrReW2 after structural relaxation.

Computed properties:
* mass density: 17.49 g/cm³
* excess energy over the best structure of this formula in the dataset: 39 meV per atom
* crystal system: orthorhombic
* calculated volume: 14.4 Å³ per atom
* SG: No. 71

Cell lengths 3.067, 4.356, 5.063 Å; angles 115.48, 107.63, 90.00 degrees
Element x y z (fractional)
Cr  0.000  0.500  0.000
Re  0.500  0.000  0.000
W  0.255  0.255  0.509
W  0.745  0.745  0.491

## Ru (PBEsol)

Data for Ru after structural relaxation.

Computed properties:
* mass density: 12.64 g/cm³
* excess energy over the best structure of this formula in the dataset: 0 meV per atom
* crystal system: hexagonal
* calculated volume: 13.3 Å³ per atom
* SG: No. 194

Cell lengths 2.685, 2.685, 4.254 Å; angles 90.00, 90.00, 120.00 degrees
Element x y z (fractional)
Ru  0.333  0.667  0.750
Ru  0.667  0.333  0.250

## Tl2CdSb (PBEsol)

Data for Tl2CdSb after structural relaxation.

Computed properties:
* mass density: 9.95 g/cm³
* uncorrected formation energy: 1.0 kcal/mol of atoms
* excess energy over the best structure of this formula in the dataset: 7 meV per atom
* crystal system: orthorhombic
* calculated volume: 26.8 Å³ per atom
* SG: No. 25

Cell lengths 3.438, 3.992, 7.819 Å; angles 90.00, 90.00, 90.00 degrees
Element x y z (fractional)
Tl  0.500  0.500  0.277
Tl  0.000  0.000  0.986
Sb  0.500  0.500  0.722
Cd  0.000  0.000  0.514